Entry 1:
## CsNb3Ag (SCAN)

Data for a crystal of CsNb3Ag relaxed with PBEsol.

Lattice parameters (Å, degrees): 4.9642 4.9642 4.9642 90.00 90.00 90.00
Last column: nearest neighbours and their distance in Å.
Fractional positions:
Cs 0.0000 0.0000 0.0000  6 Nb 2.48
Nb 0.0000 0.0000 0.5000  2 Cs 2.48
Nb 0.0000 0.5000 0.0000  2 Cs 2.48
Nb 0.5000 0.0000 0.0000  2 Cs 2.48
Ag 0.5000 0.5000 0.5000  12 Nb 3.51

Computed properties:
- ΔH_f (0 K) (meV/atom) = 2783
- VASP energy (Ha/atom) = -1.1367

Entry 2:
## Cs2NbAgSe4 (SCAN)

Data for a crystal of Cs2NbAgSe4 relaxed with PBEsol.

Lattice parameters (Å, degrees): 14.4225 12.8492 7.8117 84.82 62.53 32.64
Last column: nearest neighbours and their distance in Å.
Fractional positions:
Cs 0.0555 0.0555 0.6945  8 Se 3.60-3.85
Cs 0.3055 0.3055 0.9445  8 Se 3.60-3.85
Cs 0.6945 0.6945 0.0555  8 Se 3.60-3.85
Cs 0.9445 0.9445 0.3055  8 Se 3.60-3.85
Nb 0.1250 0.1250 0.1250  4 Se 2.42
Nb 0.8750 0.8750 0.8750  4 Se 2.42
Ag 0.3750 0.3750 0.3750  4 Se 2.61
Ag 0.6250 0.6250 0.6250  4 Se 2.61
Se 0.0562 0.3071 0.3921  1 Nb 2.42, 1 Ag 2.61
Se 0.2554 0.6079 0.6929  1 Nb 2.42, 1 Ag 2.61
Se 0.3071 0.0562 0.7446  1 Nb 2.42, 1 Ag 2.61
Se 0.3921 0.7446 0.0562  1 Nb 2.42, 1 Ag 2.61
Se 0.6079 0.2554 0.9438  1 Nb 2.42, 1 Ag 2.61
Se 0.6929 0.9438 0.2554  1 Nb 2.42, 1 Ag 2.61
Se 0.7446 0.3921 0.3071  1 Nb 2.42, 1 Ag 2.61
Se 0.9438 0.6929 0.6079  1 Nb 2.42, 1 Ag 2.61

Computed properties:
- VASP energy (Ha/atom) = -1.0531

Entry 3:
## Cs3NiAg (SCAN)

Data for a crystal of Cs3NiAg relaxed with PBEsol.

Lattice parameters (Å, degrees): 6.6868 6.6868 6.6868 90.00 90.00 90.00
Last column: nearest neighbours and their distance in Å.
Fractional positions:
Cs 0.0000 0.0000 0.5000  2 Ag 3.34
Cs 0.0000 0.5000 0.0000  2 Ag 3.34
Cs 0.5000 0.0000 0.0000  2 Ag 3.34
Ni 0.5000 0.5000 0.5000  12 Cs 4.73
Ag 0.0000 0.0000 0.0000  6 Cs 3.34

Computed properties:
- ΔH_f (0 K) (meV/atom) = 723
- VASP energy (Ha/atom) = -1.1566

Entry 4:
## Cs2RbNiAg (SCAN)

Data for a crystal of Cs2RbNiAg relaxed with PBEsol.

Lattice parameters (Å, degrees): 6.3599 6.3599 5.0668 90.00 90.00 90.00
Last column: nearest neighbours and their distance in Å.
Fractional positions:
Cs 0.0000 0.5000 0.0000  2 Ni 3.18
Cs 0.5000 0.0000 0.0000  2 Ni 3.18
Rb 0.0000 0.0000 0.5000  8 Cs 4.07, 4 Ag 4.50
Ni 0.5000 0.5000 0.0000  2 Ag 2.53
Ag 0.5000 0.5000 0.5000  2 Ni 2.53

Computed properties:
- ΔH_f (0 K) (meV/atom) = 503
- VASP energy (Ha/atom) = -1.0392

Entry 5:
## Cs2AgO (SCAN)

Data for a crystal of Cs2AgO relaxed with PBEsol.

Lattice parameters (Å, degrees): 5.4617 5.4617 5.4617 60.00 60.00 60.00
Last column: nearest neighbours and their distance in Å.
Fractional positions:
Cs 0.2500 0.2500 0.2500  4 O 3.34, 4 Ag 3.34
Cs 0.7500 0.7500 0.7500  4 O 3.34, 4 Ag 3.34
Ag 0.0000 0.0000 0.0000  8 Cs 3.34
O 0.5000 0.5000 0.5000  8 Cs 3.34

Computed properties:
- VASP energy (Ha/atom) = -1.0454

Entry 6:
## Cs5Si3AgO9 (SCAN)

Data for a crystal of Cs5Si3AgO9 relaxed with PBEsol.

Lattice parameters (Å, degrees): 9.5644 6.4385 11.7424 90.00 93.04 90.00
Last column: nearest neighbours and their distance in Å.
Fractional positions:
Cs 0.0351 0.2500 0.3927  9 O 3.05-3.39
Cs 0.1640 0.2500 0.0582  4 O 2.93-3.24
Cs 0.2320 0.7500 0.8617  2 O 2.75
Cs 0.2691 0.2500 0.6831  2 O 2.79
Cs 0.4560 0.2500 0.3826  8 O 3.08-3.33
Cs 0.5440 0.7500 0.6174  8 O 3.08-3.33
Cs 0.7309 0.7500 0.3169  2 O 2.79
Cs 0.7680 0.2500 0.1383  2 O 2.75
Cs 0.8360 0.7500 0.9418  4 O 2.93-3.24
Cs 0.9649 0.7500 0.6073  9 O 3.05-3.39
Si 0.0606 0.7500 0.2049  4 O 1.61-1.70
Si 0.2463 0.7500 0.4322  4 O 1.61-1.70
Si 0.3818 0.7500 0.2005  4 O 1.64-1.66
Si 0.6182 0.2500 0.7995  4 O 1.64-1.66
Si 0.7537 0.2500 0.5678  4 O 1.61-1.70
Si 0.9394 0.2500 0.7951  4 O 1.61-1.70
Ag 0.5000 0.0000 0.0000  2 O 2.02
Ag 0.5000 0.5000 0.0000  2 O 2.02
O 0.0218 0.0391 0.8299  1 Si 1.61
O 0.0218 0.4609 0.8299  1 Si 1.61
O 0.1002 0.7500 0.3458  2 Si 1.68
O 0.2188 0.7500 0.1444  2 Si 1.66-1.70
O 0.2547 0.5384 0.5051  1 Si 1.61
O 0.2547 0.9616 0.5051  1 Si 1.61
O 0.3781 0.7500 0.3409  2 Si 1.65-1.70
O 0.4633 0.5371 0.1666  1 Si 1.64
O 0.4633 0.9629 0.1666  1 Si 1.64
O 0.5367 0.0371 0.8334  1 Si 1.64
O 0.5367 0.4629 0.8334  1 Si 1.64
O 0.6219 0.2500 0.6591  2 Si 1.65-1.70
O 0.7453 0.0384 0.4949  1 Si 1.61
O 0.7453 0.4616 0.4949  1 Si 1.61
O 0.7812 0.2500 0.8556  2 Si 1.66-1.70
O 0.8998 0.2500 0.6542  2 Si 1.68
O 0.9782 0.5391 0.1701  1 Si 1.61
O 0.9782 0.9609 0.1701  1 Si 1.61

Computed properties:
- VASP energy (Ha/atom) = -0.7138

Entry 7:
## Cs2AgOs (SCAN)

Data for a crystal of Cs2AgOs relaxed with PBEsol.

Lattice parameters (Å, degrees): 5.8058 5.8058 5.8058 60.00 60.00 60.00
Last column: nearest neighbours and their distance in Å.
Fractional positions:
Cs 0.2500 0.2500 0.2500  4 Os 3.56, 4 Ag 3.56
Cs 0.7500 0.7500 0.7500  4 Os 3.56, 4 Ag 3.56
Ag 0.0000 0.0000 0.0000  8 Cs 3.56
Os 0.5000 0.5000 0.5000  8 Cs 3.56

Computed properties:
- ΔH_f (0 K) (meV/atom) = 1453
- VASP energy (Ha/atom) = -1.5899

Entry 8:
## CsZr2AgOs (SCAN)

Data for a crystal of CsZr2AgOs relaxed with PBEsol.

Lattice parameters (Å, degrees): 4.9985 4.9985 5.4790 90.00 90.00 90.00
Last column: nearest neighbours and their distance in Å.
Fractional positions:
Cs 0.0000 0.0000 0.0000  4 Ag 3.53, 8 Zr 3.71
Zr 0.0000 0.5000 0.5000  2 Os 2.50
Zr 0.5000 0.0000 0.5000  2 Os 2.50
Ag 0.5000 0.5000 0.0000  2 Os 2.74
Os 0.5000 0.5000 0.5000  4 Zr 2.50, 2 Ag 2.74

Computed properties:
- ΔH_f (0 K) (meV/atom) = 545
- VASP energy (Ha/atom) = -1.4680

Entry 9:
## CsAg2P2 (SCAN)

Data for a crystal of CsAg2P2 relaxed with PBEsol.

Lattice parameters (Å, degrees): 5.8921 5.8921 5.8921 133.28 133.28 68.22
Last column: nearest neighbours and their distance in Å.
Fractional positions:
Cs 0.0000 0.0000 0.0000  8 Ag 3.38, 10 P 3.48-3.77
Ag 0.2500 0.7500 0.5000  4 P 2.69
Ag 0.7500 0.2500 0.5000  4 P 2.69
P 0.3869 0.3869 0.0000  1 P 2.21
P 0.6131 0.6131 0.0000  1 P 2.21

Computed properties:
- ΔH_f (0 K) (meV/atom) = -48
- VASP energy (Ha/atom) = -0.8936

Entry 10:
## Cs2AgP (SCAN)

Data for a crystal of Cs2AgP relaxed with PBEsol.

Lattice parameters (Å, degrees): 5.8599 5.8599 5.8599 60.00 60.00 60.00
Last column: nearest neighbours and their distance in Å.
Fractional positions:
Cs 0.2500 0.2500 0.2500  4 P 3.59, 4 Ag 3.59
Cs 0.7500 0.7500 0.7500  4 Ag 3.59, 4 P 3.59
Ag 0.0000 0.0000 0.0000  8 Cs 3.59
P 0.5000 0.5000 0.5000  8 Cs 3.59

Computed properties:
- ΔH_f (0 K) (meV/atom) = 297
- VASP energy (Ha/atom) = -1.0676

Entry 11:
## CsAgP3 (SCAN)

Data for a crystal of CsAgP3 relaxed with PBEsol.

Lattice parameters (Å, degrees): 5.3168 5.3168 5.3168 90.00 90.00 90.00
Last column: nearest neighbours and their distance in Å.
Fractional positions:
Cs 0.0000 0.0000 0.0000  6 P 2.66
Ag 0.5000 0.5000 0.5000  12 P 3.76
P 0.0000 0.0000 0.5000  2 Cs 2.66
P 0.0000 0.5000 0.0000  2 Cs 2.66
P 0.5000 0.0000 0.0000  2 Cs 2.66

Computed properties:
- ΔH_f (0 K) (meV/atom) = 2329
- VASP energy (Ha/atom) = -0.6522

Entry 12:
## CsAgPSe3 (SCAN)

Data for a crystal of CsAgPSe3 relaxed with PBEsol.

Lattice parameters (Å, degrees): 6.7612 12.2128 10.2948 90.00 125.30 90.00
Last column: nearest neighbours and their distance in Å.
Fractional positions:
Cs 0.2326 0.1670 0.4880  9 Se 3.63-3.97, 1 Ag 3.80, 1 P 3.87
Cs 0.2326 0.3330 0.9880  9 Se 3.63-3.97, 1 Ag 3.80, 1 P 3.87
Cs 0.7674 0.6670 0.0120  9 Se 3.63-3.97, 1 Ag 3.80, 1 P 3.87
Cs 0.7674 0.8330 0.5120  9 Se 3.63-3.97, 1 Ag 3.80, 1 P 3.87
Ag 0.1877 0.5589 0.6390  3 Se 2.54-2.59
Ag 0.1877 0.9411 0.1390  3 Se 2.54-2.59
Ag 0.8123 0.0589 0.8610  3 Se 2.54-2.59
Ag 0.8123 0.4411 0.3610  3 Se 2.54-2.59
P 0.3445 0.5418 0.3853  3 Se 2.19-2.22, 1 P 2.30
P 0.3445 0.9582 0.8853  3 Se 2.19-2.22, 1 P 2.30
P 0.6555 0.0418 0.1147  3 Se 2.19-2.22, 1 P 2.30
P 0.6555 0.4582 0.6147  3 Se 2.19-2.22, 1 P 2.30
Se 0.0617 0.0853 0.7509  1 P 2.22
Se 0.0617 0.4147 0.2509  1 P 2.22
Se 0.2415 0.6858 0.4622  1 P 2.20
Se 0.2415 0.8142 0.9622  1 P 2.20
Se 0.4868 0.5937 0.2500  1 P 2.19
Se 0.4868 0.9063 0.7500  1 P 2.19
Se 0.5132 0.0937 0.2500  1 P 2.19
Se 0.5132 0.4063 0.7500  1 P 2.19
Se 0.7585 0.1858 0.0378  1 P 2.20
Se 0.7585 0.3142 0.5378  1 P 2.20
Se 0.9383 0.5853 0.7491  1 P 2.22
Se 0.9383 0.9147 0.2491  1 P 2.22

Computed properties:
- VASP energy (Ha/atom) = -0.8790

Entry 13:
## CsAg3Pb (SCAN)

Data for a crystal of CsAg3Pb relaxed with PBEsol.

Lattice parameters (Å, degrees): 5.6834 5.6834 5.6834 90.00 90.00 90.00
Last column: nearest neighbours and their distance in Å.
Fractional positions:
Cs 0.0000 0.0000 0.0000  6 Ag 2.84
Ag 0.0000 0.0000 0.5000  2 Cs 2.84
Ag 0.0000 0.5000 0.0000  2 Cs 2.84
Ag 0.5000 0.0000 0.0000  2 Cs 2.84
Pb 0.5000 0.5000 0.5000  12 Ag 4.02

Computed properties:
- ΔH_f (0 K) (meV/atom) = 1381
- VASP energy (Ha/atom) = -1.4758

Entry 14:
## CsZr2AgPb (SCAN)

Data for a crystal of CsZr2AgPb relaxed with PBEsol.

Lattice parameters (Å, degrees): 5.6004 5.6004 5.4163 90.00 90.00 90.00
Last column: nearest neighbours and their distance in Å.
Fractional positions:
Cs 0.0000 0.0000 0.0000  8 Zr 3.90, 4 Ag 3.96
Zr 0.0000 0.5000 0.5000  2 Pb 2.80
Zr 0.5000 0.0000 0.5000  2 Pb 2.80
Ag 0.5000 0.5000 0.0000  2 Pb 2.71
Pb 0.5000 0.5000 0.5000  2 Ag 2.71, 4 Zr 2.80

Computed properties:
- ΔH_f (0 K) (meV/atom) = 938
- VASP energy (Ha/atom) = -1.4822

Entry 15:
## CsPr2Ag3Te5 (SCAN)

Data for a crystal of CsPr2Ag3Te5 relaxed with PBEsol.

Lattice parameters (Å, degrees): 8.3042 8.3042 18.6503 90.00 90.00 147.97
Last column: nearest neighbours and their distance in Å.
Fractional positions:
Cs 0.0584 0.9416 0.7500  8 Te 3.71-3.79
Cs 0.9416 0.0584 0.2500  8 Te 3.71-3.79
Pr 0.1900 0.8100 0.0925  6 Te 3.12-3.22
Pr 0.1900 0.8100 0.4075  6 Te 3.12-3.22
Pr 0.8100 0.1900 0.5925  6 Te 3.12-3.22
Pr 0.8100 0.1900 0.9075  6 Te 3.12-3.22
Ag 0.3401 0.6599 0.7500  4 Te 2.76-2.92
Ag 0.4111 0.5889 0.0262  4 Te 2.79-2.92, 1 Ag 3.00
Ag 0.4111 0.5889 0.4738  4 Te 2.79-2.92, 1 Ag 3.00
Ag 0.5889 0.4111 0.5262  4 Te 2.79-2.92, 1 Ag 3.00
Ag 0.5889 0.4111 0.9738  4 Te 2.79-2.92, 1 Ag 3.00
Ag 0.6599 0.3401 0.2500  4 Te 2.76-2.92
Te 0.1699 0.8301 0.5753  2 Ag 2.79
Te 0.1699 0.8301 0.9247  2 Ag 2.79
Te 0.2558 0.7442 0.2500  2 Ag 2.76
Te 0.4438 0.5562 0.6211  3 Ag 2.80-2.92
Te 0.4438 0.5562 0.8789  3 Ag 2.80-2.92
Te 0.5562 0.4438 0.1211  3 Ag 2.80-2.92
Te 0.5562 0.4438 0.3789  3 Ag 2.80-2.92
Te 0.7442 0.2558 0.7500  2 Ag 2.76
Te 0.8301 0.1699 0.0753  2 Ag 2.79
Te 0.8301 0.1699 0.4247  2 Ag 2.79

Computed properties:
- VASP energy (Ha/atom) = -1.3902

Entry 16:
## CsAg2Pt (SCAN)

Data for a crystal of CsAg2Pt relaxed with PBEsol.

Lattice parameters (Å, degrees): 4.9938 4.9938 4.9938 60.00 60.00 60.00
Last column: nearest neighbours and their distance in Å.
Fractional positions:
Cs 0.0000 0.0000 0.0000  8 Ag 3.06
Ag 0.2500 0.2500 0.2500  4 Pt 3.06, 4 Cs 3.06
Ag 0.7500 0.7500 0.7500  4 Cs 3.06, 4 Pt 3.06
Pt 0.5000 0.5000 0.5000  8 Ag 3.06

Computed properties:
- ΔH_f (0 K) (meV/atom) = 629
- VASP energy (Ha/atom) = -1.5455

Entry 17:
## Cs3AgPt (SCAN)

Data for a crystal of Cs3AgPt relaxed with PBEsol.

Lattice parameters (Å, degrees): 6.4143 6.4143 6.4143 90.00 90.00 90.00
Last column: nearest neighbours and their distance in Å.
Fractional positions:
Cs 0.0000 0.0000 0.5000  2 Pt 3.21
Cs 0.0000 0.5000 0.0000  2 Pt 3.21
Cs 0.5000 0.0000 0.0000  2 Pt 3.21
Ag 0.5000 0.5000 0.5000  12 Cs 4.54
Pt 0.0000 0.0000 0.0000  6 Cs 3.21

Computed properties:
- ΔH_f (0 K) (meV/atom) = 60
- VASP energy (Ha/atom) = -1.5779

Entry 18:
## CsAg3Pt (SCAN)

Data for a crystal of CsAg3Pt relaxed with PBEsol.

Lattice parameters (Å, degrees): 5.3947 5.3947 5.3947 90.00 90.00 90.00
Last column: nearest neighbours and their distance in Å.
Fractional positions:
Cs 0.0000 0.0000 0.0000  6 Ag 2.70
Ag 0.0000 0.0000 0.5000  2 Cs 2.70
Ag 0.0000 0.5000 0.0000  2 Cs 2.70
Ag 0.5000 0.0000 0.0000  2 Cs 2.70
Pt 0.5000 0.5000 0.5000  12 Ag 3.81

Computed properties:
- ΔH_f (0 K) (meV/atom) = 2091
- VASP energy (Ha/atom) = -1.4086

Entry 19:
## CsAgPt3 (SCAN)

Data for a crystal of CsAgPt3 relaxed with PBEsol.

Lattice parameters (Å, degrees): 5.0748 5.0748 5.0748 90.00 90.00 90.00
Last column: nearest neighbours and their distance in Å.
Fractional positions:
Cs 0.0000 0.0000 0.0000  6 Pt 2.54
Ag 0.5000 0.5000 0.5000  12 Pt 3.59
Pt 0.0000 0.0000 0.5000  2 Cs 2.54
Pt 0.0000 0.5000 0.0000  2 Cs 2.54
Pt 0.5000 0.0000 0.0000  2 Cs 2.54

Computed properties:
- ΔH_f (0 K) (meV/atom) = 2255
- VASP energy (Ha/atom) = -1.9733

Entry 20:
## Cs2RbAgPt (SCAN)

Data for a crystal of Cs2RbAgPt relaxed with PBEsol.

Lattice parameters (Å, degrees): 6.4026 6.4026 6.2320 90.00 90.00 90.00
Last column: nearest neighbours and their distance in Å.
Fractional positions:
Cs 0.0000 0.5000 0.0000  2 Pt 3.20
Cs 0.5000 0.0000 0.0000  2 Pt 3.20
Rb 0.0000 0.0000 0.5000  2 Pt 3.12
Ag 0.5000 0.5000 0.5000  8 Cs 4.47, 4 Rb 4.53
Pt 0.0000 0.0000 0.0000  2 Rb 3.12, 4 Cs 3.20

Computed properties:
- ΔH_f (0 K) (meV/atom) = 87
- VASP energy (Ha/atom) = -1.4515